This record from the Alexandria database describes a geometry-optimized Zr2ZnBr structure. The functional is GGA-PBE.

The energy relative to the lowest polymorph listed for this composition comes out at 0.24 eV/f.u. The calculation puts the formation energy (no corrections) at -0.98 eV per formula unit.

The structure belongs to space group P4/mmm (No. 123); the cell edges are 3.2196, 3.2196 and 7.7182 Å and the angles 90.00°, 90.00° and 90.00°. Symmetry generates all atoms from Zr at (0.0000, 0.0000, 0.2288), Zn at (0.5000, 0.5000, 0.0000) and Br at (0.5000, 0.5000, 0.5000).

---

This record from the Alexandria database describes a geometry-optimized FeTe2Os structure. The functional is GGA-PBE.

The energy relative to the lowest polymorph listed for this composition comes out at 0.32 eV/f.u. The calculation puts the formation energy (no corrections) at 0.95 eV per formula unit.

The structure belongs to space group Immm (No. 71); the cell edges are 3.7008, 3.7905 and 14.6916 Å and the angles 90.00°, 90.00° and 90.00°. Symmetry generates all atoms from Fe at (0.0000, 0.0000, 0.0000), Te at (0.0000, 0.5000, 0.3709) and Os at (0.0000, 0.0000, 0.5000).

---

This record from the Alexandria database describes a geometry-optimized K2HPd structure. The functional is GGA-PBE.

The energy relative to the lowest polymorph listed for this composition comes out at 0.08 eV/f.u.

The structure belongs to space group P2_1/m (No. 11); the cell edges are 8.3614, 3.4224 and 8.8999 Å and the angles 90.00°, 105.49° and 90.00°. Symmetry generates all atoms from K at (0.2436, 0.2500, 0.4341), K at (0.2474, 0.2500, 0.9380), H at (0.4902, 0.7500, 0.2498) and Pd at (0.4696, 0.7500, 0.7406).

---

This record from the Alexandria database describes a geometry-optimized LaMg2Pt9 structure. The functional is GGA-PBE.

For the energy of formation from the pure elements, the calculation gives -0.67 eV/atom.

The structure belongs to space group R-3m (No. 166, hexagonal axes); the cell edges are 5.3881, 5.3881 and 26.1791 Å and the angles 90.00°, 90.00° and 120.00°. Symmetry generates all atoms from La at (0.0000, 0.0000, 0.0000), Mg at (0.0000, 0.0000, 0.1456), Pt at (0.0000, 0.0000, 0.3334), Pt at (0.0000, 0.0000, 0.5000) and Pt at (0.0051, 0.5026, 0.9135).

---

Energy (computed, eV per atom): -5.2562 -6.2555 -2.7502 -5.8722